# AcGdThMg

A relaxed structure of AcGdThMg (GGA-PBE, Alexandria).

## Properties
The calculation puts the total energy at -6.590 eV per atom. As for the energy relative to the elements: 0.84 eV per formula unit. The density of states at the Fermi level comes out at 6.75 states/eV/f.u.

Cell: 8.098 8.098 8.098 Å, 90.00 90.00 90.00°
Space group F-43m (No. 216)
Symmetry-distinct sites (fractional):
1 Ac 0.000 0.000 0.000
2 Gd 0.250 0.250 0.250
3 Th 0.250 0.250 0.750
4 Mg 0.000 0.000 0.500